No. 1
## HfMg2ZrF (PBE)

Data for a geometry-optimized HfMg2ZrF structure.

Lattice parameters (Å, degrees): 5.7157 5.7157 3.8942 90.00 90.00 90.00
Sites, in units of the cell vectors:
Hf: 0.0000 0.0000 0.0000
Mg: 0.0000 0.5000 0.0000
Mg: 0.5000 0.0000 0.0000
Zr: 0.5000 0.5000 0.5000
F: 0.0000 0.0000 0.5000

## Properties
* total magnetization: 1.1 μB per formula unit
* E_form (uncorrected): 0.0 eV/f.u.
* volume: 127.2 Å³ per cell
* space group: No. 123



No. 2
## Sm3DyY2Tm6 (PBE)

Data for a geometry-optimized Sm3DyY2Tm6 structure.

Lattice parameters (Å, degrees): 6.1391 6.1391 11.6925 95.01 95.01 119.96
Sites, in units of the cell vectors:
Sm: 0.0000 0.0000 0.0000
Sm: 0.3332 0.6668 0.0000
Sm: 0.6668 0.3332 0.0000
Dy: 0.5000 0.5000 0.5000
Y: 0.1666 0.8334 0.5000
Y: 0.8334 0.1666 0.5000
Tm: 0.0844 0.4170 0.2514
Tm: 0.2503 0.2503 0.7487
Tm: 0.4170 0.0844 0.2514
Tm: 0.5830 0.9156 0.7486
Tm: 0.7497 0.7497 0.2513
Tm: 0.9156 0.5830 0.7486

## Properties
* total magnetization: 0.0 μB per formula unit
* volume: 375.9 Å³ per cell
* energy of formation from the pure elements: 0.0238 eV/atom
* space group: No. 12



No. 3
## Cs4AlI7 (PBE)

Data for a geometry-optimized Cs4AlI7 structure.

Lattice parameters (Å, degrees): 9.1821 9.1821 11.5782 113.85 113.85 50.38
Sites, in units of the cell vectors:
Cs: 0.1199 0.1199 0.3065
Cs: 0.3504 0.3636 0.0065
Cs: 0.6364 0.6496 0.9935
Cs: 0.8801 0.8801 0.6935
Al: 0.4886 0.5114 0.5000
I: 0.1150 0.1326 0.9801
I: 0.1830 0.5476 0.3360
I: 0.4069 0.4164 0.6805
I: 0.4524 0.8170 0.6640
I: 0.5836 0.5931 0.3195
I: 0.8170 0.1830 0.5000
I: 0.8674 0.8850 0.0199

## Properties
* total magnetization: 0.0 μB per formula unit
* E_form (uncorrected): -14.7 eV/f.u.
* volume: 672.7 Å³ per cell
* space group: No. 5